Record 1
Compound: Al2Cd2Sn3
Source: OQMD
Functional: PBE
Structure: relaxed

Cell lengths 8.620, 8.620, 8.620 Å; angles 34.05, 34.05, 34.05 degrees
Fractional positions:
Sn1 0.622 0.622 0.622
Cd1 0.493 0.493 0.493
Al1 0.752 0.752 0.752
Al2 0.247 0.247 0.247
Sn2 0.874 0.874 0.874
Sn3 0.374 0.374 0.374
Cd2 0.015 0.015 0.015

Calculated values
VASP energy: -19.82 eV per cell

Record 2
Compound: TbTm2InGa2Hg3
Source: OQMD
Functional: PBE
Structure: relaxed

Cell lengths 4.448, 7.339, 7.339 Å; angles 120.20, 90.00, 90.00 degrees
Fractional positions:
Hg1 0.500 0.265 0.265
Tm1 0.000 0.435 0.999
Ga1 0.500 0.331 0.667
Tb1 0.000 0.567 0.567
In1 0.000 0.003 0.003
Ga2 0.500 0.667 0.331
Tm2 0.000 0.999 0.435
Hg2 0.500 0.999 0.734
Hg3 0.500 0.734 0.999

Calculated values
VASP energy: -27.32 eV per cell

Record 3
Compound: SrGdSi2Os2
Source: OQMD
Functional: PBE
Structure: relaxed

Cell lengths 4.243, 4.243, 7.174 Å; angles 90.00, 90.00, 90.00 degrees
Fractional positions:
Gd1 0.000 0.000 0.701
Sr1 0.500 0.500 0.337
Si1 0.000 0.000 0.159
Os1 0.500 0.000 0.990
Os2 0.000 0.500 0.990
Si2 0.500 0.500 0.823

Calculated values
VASP energy: -42.66 eV per cell

Record 4
Compound: RePd2Pb
Source: OQMD
Functional: PBE
Structure: relaxed

Cell lengths 4.599, 4.599, 4.599 Å; angles 60.00, 60.00, 60.00 degrees
Fractional positions:
Re1 0.250 0.250 0.250
Pb1 0.500 0.500 0.500
Pd1 0.000 0.000 0.000
Pd2 0.750 0.750 0.750

Calculated values
VASP energy: -24.54 eV per cell

Record 5
Compound: RbLuZn
Source: OQMD
Functional: PBE
Structure: relaxed

Cell lengths 5.329, 5.329, 5.329 Å; angles 60.00, 60.00, 60.00 degrees
Fractional positions:
Lu1 0.000 0.000 0.000
Zn1 0.750 0.750 0.750
Rb1 0.250 0.250 0.250

Calculated values
energy relative to the lowest polymorph listed for this composition: 0.000 eV/atom
VASP energy: -4.12 eV per cell

Record 6
Compound: TbF2
Source: OQMD
Functional: PBE
Structure: relaxed

Cell lengths 4.712, 4.712, 4.712 Å; angles 60.00, 60.00, 60.00 degrees
Fractional positions:
F1 0.625 0.625 0.625
F2 0.625 0.625 0.125
Tb1 0.250 0.250 0.250
Tb2 0.000 0.000 0.000
F3 0.625 0.125 0.625
F4 0.125 0.625 0.625

Calculated values
VASP energy: -27.40 eV per cell

Record 7
Compound: Y4Ni2Hg5
Source: OQMD
Functional: PBE
Structure: relaxed

Cell lengths 7.555, 3.597, 9.405 Å; angles 90.00, 93.21, 90.00 degrees
Fractional positions:
Hg1 0.943 0.000 0.168
Hg2 0.334 0.000 0.355
Y1 0.277 0.500 0.064
Y2 0.723 0.500 0.936
Hg3 0.666 0.000 0.645
Y3 0.676 0.500 0.343
Hg4 0.000 0.000 0.500
Ni1 0.566 0.000 0.128
Y4 0.324 0.500 0.657
Ni2 0.434 0.000 0.872
Hg5 0.057 0.000 0.832

Calculated values
E_form: -0.454 eV/atom
VASP energy: -43.48 eV per cell

Record 8
Compound: HfSbIr
Source: OQMD
Functional: PBE
Structure: relaxed

Cell lengths 4.449, 4.449, 7.027 Å; angles 90.00, 90.00, 120.00 degrees
Fractional positions:
Hf1 0.000 0.000 0.713
Ir1 0.667 0.333 0.578
Ir2 0.333 0.667 0.078
Sb1 0.333 0.667 0.459
Hf2 0.000 0.000 0.213
Sb2 0.667 0.333 0.959

Calculated values
VASP energy: -49.77 eV per cell

Record 9
Compound: TbSmB2Ir2C2
Source: OQMD
Functional: PBE
Structure: relaxed

Cell lengths 3.764, 3.764, 7.831 Å; angles 90.00, 90.00, 90.00 degrees
Fractional positions:
Sm1 0.500 0.500 0.164
B1 0.500 0.500 0.656
Ir1 0.500 0.000 0.501
C1 0.000 0.000 0.148
B2 0.000 0.000 0.343
Ir2 0.000 0.500 0.501
Tb1 0.000 0.000 0.837
C2 0.500 0.500 0.849

Calculated values
VASP energy: -62.57 eV per cell

Record 10
Compound: BaHfZr
Source: OQMD
Functional: PBE
Structure: relaxed

Cell lengths 5.261, 5.261, 5.261 Å; angles 60.00, 60.00, 60.00 degrees
Fractional positions:
Zr1 0.750 0.750 0.750
Ba1 0.250 0.250 0.250
Hf1 0.000 0.000 0.000

Calculated values
energy relative to the lowest polymorph listed for this composition: 0.000 eV/atom
VASP energy: -16.58 eV per cell

Record 11
Compound: KBPt
Source: OQMD
Functional: PBE
Structure: relaxed

Cell lengths 4.446, 4.446, 4.446 Å; angles 60.00, 60.00, 60.00 degrees
Fractional positions:
Pt1 0.000 0.000 0.000
K1 0.750 0.750 0.750
B1 0.250 0.250 0.250

Calculated values
energy relative to the lowest polymorph listed for this composition: 0.989 eV/atom
VASP energy: -9.80 eV per cell

Record 12
Compound: HoCuB4
Source: OQMD
Functional: PBE
Structure: relaxed

Cell lengths 3.191, 3.191, 6.617 Å; angles 90.00, 90.00, 120.00 degrees
Fractional positions:
B1 0.333 0.667 0.719
B2 0.333 0.667 0.281
B3 0.667 0.333 0.281
B4 0.667 0.333 0.719
Cu1 0.000 0.000 0.500
Ho1 0.000 0.000 0.000

Calculated values
energy relative to the lowest polymorph listed for this composition: 0.000 eV/atom
VASP energy: -35.84 eV per cell